(1)
A relaxed structure of Ba6SbTe4, computed with GGA-PBE. Values from VASP.

Computed properties:
total magnetic moment = 0.051 μB/cell
DFT total energy = -3.928 eV/atom

Geometry as Quantum ESPRESSO input:
```
&SYSTEM
  ibrav = 0, nat = 22, ntyp = 3
/
ATOMIC_SPECIES
Ba 137.33 Ba.upf
Te 127.60 Te.upf
Sb 121.76 Sb.upf
ATOMIC_POSITIONS crystal
Ba 0.8135 0.5763 0.5538
Ba 0.5763 0.4462 0.1865
Ba 0.5538 0.1865 0.5763
Ba 0.6865 0.0538 0.0763
Ba 0.4462 0.8135 0.4237
Ba 0.4237 0.5538 0.8135
Ba 0.3135 0.9462 0.9237
Ba 0.0538 0.9237 0.3135
Ba 0.9237 0.6865 0.9462
Ba 0.0763 0.3135 0.0538
Ba 0.1865 0.4237 0.4462
Ba 0.9462 0.0763 0.6865
Te 0.8692 0.2500 0.3692
Te 0.1308 0.7500 0.6308
Te 0.3692 0.1308 0.2500
Te 0.7500 0.7500 0.2500
Te 0.2500 0.2500 0.7500
Te 0.2500 0.6308 0.1308
Te 0.6308 0.8692 0.7500
Te 0.7500 0.3692 0.8692
Sb 0.5000 0.5000 0.5000
Sb 0.0000 0.0000 0.0000
CELL_PARAMETERS angstrom
9.9165 -0.0374 -0.0456
0.0452 9.9164 -0.0456
0.0377 0.0374 9.9165
```

(2)
A relaxed structure of BaSbTe2, computed with GGA-PBE. Values from VASP.

Computed properties:
total magnetic moment = 0.000 μB/cell
DFT total energy = -3.754 eV/atom

Geometry as Quantum ESPRESSO input:
```
&SYSTEM
  ibrav = 0, nat = 4, ntyp = 3
/
ATOMIC_SPECIES
Sb 121.76 Sb.upf
Ba 137.33 Ba.upf
Te 127.60 Te.upf
ATOMIC_POSITIONS crystal
Sb 0.6699 0.6699 0.9902
Ba 0.5010 0.5010 0.4971
Te 0.2629 0.2629 0.2114
Te 0.0663 0.0663 0.8012
CELL_PARAMETERS angstrom
4.9138 0.0000 0.0000
2.4569 4.2555 0.0000
2.4569 1.4185 7.3619
```

(3)
A relaxed structure of BaSbTe2, computed with GGA-PBE. Values from VASP.

Computed properties:
total magnetic moment = 0.000 μB/cell
DFT total energy = -3.384 eV/atom

Geometry as Quantum ESPRESSO input:
```
&SYSTEM
  ibrav = 0, nat = 4, ntyp = 3
/
ATOMIC_SPECIES
Te 127.60 Te.upf
Ba 137.33 Ba.upf
Sb 121.76 Sb.upf
ATOMIC_POSITIONS crystal
Te 0.0000 0.0000 0.0000
Te 0.2500 0.2500 0.2500
Ba 0.5000 0.5000 0.5000
Sb 0.7500 0.7500 0.7500
CELL_PARAMETERS angstrom
-2.9426 -4.7305 1.5241
0.6127 -2.1977 5.3061
-4.3272 0.3917 3.8055
```

(4)
A relaxed structure of BaSbTe2, computed with GGA-PBE. Values from VASP.

Computed properties:
total magnetic moment = 0.000 μB/cell
DFT total energy = -3.779 eV/atom

Geometry as Quantum ESPRESSO input:
```
&SYSTEM
  ibrav = 0, nat = 4, ntyp = 3
/
ATOMIC_SPECIES
Te 127.60 Te.upf
Ba 137.33 Ba.upf
Sb 121.76 Sb.upf
ATOMIC_POSITIONS crystal
Te 0.0000 0.0000 0.0000
Te 0.5000 0.5000 0.0000
Ba 0.5000 0.0000 0.5000
Sb 0.0000 0.5000 0.5000
CELL_PARAMETERS angstrom
5.6182 0.0127 0.0026
-0.0241 5.6181 0.0026
-0.0026 -0.0026 4.1851
```

(5)
A relaxed structure of Ba2SbTe, computed with GGA-PBE. Values from VASP.

Computed properties:
total magnetic moment = 0.000 μB/cell
DFT total energy = -3.402 eV/atom

Geometry as Quantum ESPRESSO input:
```
&SYSTEM
  ibrav = 0, nat = 4, ntyp = 3
/
ATOMIC_SPECIES
Ba 137.33 Ba.upf
Sb 121.76 Sb.upf
Te 127.60 Te.upf
ATOMIC_POSITIONS crystal
Ba 0.2500 0.2500 0.2500
Ba 0.0000 0.0000 0.0000
Sb 0.5000 0.5000 0.5000
Te 0.7500 0.7500 0.7500
CELL_PARAMETERS angstrom
-0.9302 0.2010 5.8338
2.6742 -3.8921 3.5551
4.3170 1.7855 3.6214
```

(6)
A relaxed structure of Ba2SbTe, computed with GGA-PBE. Values from VASP.

Computed properties:
total magnetic moment = 0.000 μB/cell
DFT total energy = -4.071 eV/atom

Geometry as Quantum ESPRESSO input:
```
&SYSTEM
  ibrav = 0, nat = 8, ntyp = 3
/
ATOMIC_SPECIES
Te 127.60 Te.upf
Sb 121.76 Sb.upf
Ba 137.33 Ba.upf
ATOMIC_POSITIONS crystal
Te 0.7500 0.8120 0.6240
Te 0.2500 0.1880 0.3760
Sb 0.7500 0.5443 0.0886
Sb 0.2500 0.4557 0.9114
Ba 0.7500 0.9388 0.8776
Ba 0.2500 0.3168 0.6335
Ba 0.2500 0.0612 0.1224
Ba 0.7500 0.6832 0.3665
CELL_PARAMETERS angstrom
-2.7344 -1.4054 3.8596
-1.2997 -4.2130 -2.4549
11.4358 -4.3117 6.5318
```

Question: Which of these has the highest total magnetic moment?
Answer: Ba6SbTe4